Entry from Alexandria: a geometry-optimized DyPu2ThSb4 structure (PBE).

Unit cell a=7.690 b=4.458 c=7.699 alpha=90.00 beta=109.57 gamma=90.00
Space group P2/m (No. 10)
One atom of each set of equivalent atoms:
Dy 0.000 0.000 0.000 x1
Pu 0.500 0.000 0.500 x1
Pu 0.500 0.500 0.000 x1
Th 0.000 0.500 0.500 x1
Sb 0.250 0.500 0.246 x2
Sb 0.253 0.000 0.755 x2

Output
Energy relative to the elements, uncorrected = -840 meV per atom

---

Entry from Alexandria: a geometry-optimized Sc2TlZnPb structure (PBE).

Unit cell a=5.445 b=5.445 c=4.890 alpha=90.00 beta=90.00 gamma=90.00
Space group P4/mmm (No. 123)
One atom of each set of equivalent atoms:
Sc 0.000 0.500 0.000 x2
Tl 0.000 0.000 0.000 x1
Zn 0.000 0.000 0.500 x1
Pb 0.500 0.500 0.500 x1

Output
E_form = 362 meV/atom

---

Computed uncorrected energy, in the same sequence as the records: -63.9 -18.2 eV per cell.